Entry 1:
DFT (PBE) results for a relaxed KAg6Pd2 crystal.

abc: 8.701 8.701 8.701
angles: 60.00 60.00 60.00
Sites, in units of the cell vectors:
K: 0.500 0.500 0.500
K: 0.750 0.750 0.750
Ag: 0.247 0.247 0.753
Ag: 0.753 0.753 0.247
Ag: 0.247 0.753 0.247
Ag: 0.247 0.753 0.753
Ag: 0.497 0.497 0.003
Ag: 0.497 0.003 0.003
Ag: 0.753 0.247 0.753
Ag: 0.003 0.003 0.497
Ag: 0.497 0.003 0.497
Ag: 0.003 0.497 0.497
Ag: 0.753 0.247 0.247
Ag: 0.003 0.497 0.003
Pd: 0.125 0.125 0.125
Pd: 0.125 0.625 0.125
Pd: 0.125 0.125 0.625
Pd: 0.625 0.125 0.125

Output
DFT formation energy: 457 meV/atom

***

Entry 2:
DFT (PBE) results for a relaxed Ac2Cu2HgPd5 crystal.

abc: 4.041 9.834 9.834
angles: 90.00 90.00 90.00
Sites, in units of the cell vectors:
Ac: 0.000 0.680 0.180
Ac: 0.000 0.320 0.820
Ac: 0.000 0.180 0.320
Ac: 0.000 0.820 0.680
Cu: 0.000 0.116 0.616
Cu: 0.000 0.884 0.384
Cu: 0.000 0.616 0.884
Cu: 0.000 0.384 0.116
Hg: 0.000 0.000 0.000
Hg: 0.000 0.500 0.500
Pd: 0.500 0.212 0.065
Pd: 0.500 0.788 0.935
Pd: 0.500 0.065 0.788
Pd: 0.500 0.712 0.435
Pd: 0.500 0.935 0.212
Pd: 0.500 0.288 0.565
Pd: 0.500 0.565 0.712
Pd: 0.500 0.435 0.288
Pd: 0.500 0.500 0.000
Pd: 0.500 0.000 0.500

Output
DFT formation energy: -564 meV/atom

***

Entry 3:
DFT (PBE) results for a relaxed Li3AgSb crystal.

abc: 4.919 4.929 7.858
angles: 86.67 71.66 78.88
Sites, in units of the cell vectors:
Li: 0.153 0.343 0.412
Li: 0.955 0.344 0.806
Li: 0.654 0.844 0.413
Li: 0.757 0.345 0.201
Li: 0.258 0.845 0.203
Li: 0.456 0.844 0.808
Ag: 0.850 0.845 0.018
Ag: 0.561 0.344 0.597
Sb: 0.347 0.345 0.021
Sb: 0.064 0.844 0.593

Output
ΔE to the lowest computed polymorph: 0.000 eV per atom
ΔE_f (raw): -0.4001 eV per atom

***

Entry 4:
DFT (PBE) results for a relaxed In2PAu crystal.

abc: 6.963 6.963 6.963
angles: 33.65 33.65 33.65
Sites, in units of the cell vectors:
Au: 0.763 0.763 0.763
In: 0.014 0.014 0.014
In: 0.232 0.232 0.232
P: 0.490 0.490 0.490

Output
DFT formation energy: 21 meV/atom

***

Entry 5:
DFT (PBE) results for a relaxed SiRh2Se crystal.

abc: 3.429 3.429 5.143
angles: 90.00 90.00 90.00
Sites, in units of the cell vectors:
Rh: 0.000 0.000 0.947
Rh: 0.500 0.500 0.298
Se: 0.000 0.000 0.442
Si: 0.500 0.500 0.814

Output
ΔE to the lowest computed polymorph: 0.124 eV per atom
ΔE_f (raw): -0.3528 eV per atom

***

Entry 6:
DFT (PBE) results for a relaxed Sm2Dy5Er2 crystal.

abc: 11.757 6.701 10.043
angles: 109.49 125.83 90.00
Sites, in units of the cell vectors:
Sm: 0.000 0.017 0.000
Sm: 0.500 0.517 0.000
Sm: 0.259 0.356 0.500
Sm: 0.741 0.856 0.500
Dy: 0.200 0.654 0.896
Dy: 0.800 0.758 0.104
Dy: 0.196 0.154 0.896
Dy: 0.804 0.258 0.104
Dy: 0.378 0.036 0.286
Dy: 0.622 0.750 0.714
Dy: 0.408 0.536 0.286
Dy: 0.592 0.250 0.714
Dy: 0.005 0.651 0.500
Dy: 0.995 0.151 0.500
Er: 0.125 0.684 0.254
Er: 0.875 0.431 0.746
Er: 0.628 0.184 0.254
Er: 0.372 0.931 0.746

Output
ΔE to the lowest computed polymorph: 0.110 eV per atom
DFT formation energy: 223 meV/atom

***

It is found that the total magnetic moment values, taken in the order of the records, are 0.0, 0.0, 0.0, 0.0, 0.0, 0.0 Bohr magnetons per cell.